Mn3GeN (PBE, relaxed); energy above the most stable polymorph in this dataset = 0.000 eV per atom; size of the total moment = 1.6 μB per formula unit
1.0
-2.644 2.644 4.040
2.644 -2.644 4.040
2.644 2.644 -4.040
Mn Ge N
6 2 2
direct
0.190 0.690 0.879
0.250 0.250 0.000
0.310 0.190 0.500
0.690 0.810 0.500
0.750 0.750 0.000
0.810 0.310 0.121
0.250 0.750 0.500
0.750 0.250 0.500
0.000 0.000 0.000
0.500 0.500 0.000

MnGeN (PBE, relaxed); energy above the most stable polymorph in this dataset = 0.257 eV per atom; size of the total moment = 1.8 μB per formula unit
1.0
-1.665 1.665 4.294
1.665 -1.665 4.294
1.665 1.665 -4.294
Mn Ge N
1 1 1
direct
0.000 0.000 0.000
0.591 0.591 0.000
0.809 0.809 0.000

Mn3GeN (PBE, relaxed); energy above the most stable polymorph in this dataset = 0.280 eV per atom; size of the total moment = 0.6 μB per formula unit
1.0
4.950 -2.321 0.000
4.950 2.321 0.000
-1.550 0.000 4.994
Mn Ge N
6 2 2
direct
0.097 0.903 0.500
0.329 0.527 0.818
0.514 0.777 0.221
0.527 0.329 0.318
0.777 0.514 0.721
0.903 0.097 0.000
0.069 0.381 0.370
0.381 0.069 0.870
0.211 0.718 0.159
0.718 0.211 0.659